# 1
First-principles (PBE) data for a relaxed AcAg2GePt2 crystal, as listed in the Alexandria database.

Cell lengths 4.511, 4.511, 15.155 Å; angles 90.00, 90.00, 90.00 degrees
Fractional coordinates of all 12 atoms:
1 Ac 0.000 0.000 0.000
2 Ac 0.500 0.500 0.500
3 Ag 0.000 0.500 0.250
4 Ag 0.000 0.500 0.750
5 Ag 0.500 0.000 0.250
6 Ag 0.500 0.000 0.750
7 Ge 0.000 0.000 0.500
8 Ge 0.500 0.500 0.000
9 Pt 0.000 0.000 0.350
10 Pt 0.000 0.000 0.650
11 Pt 0.500 0.500 0.150
12 Pt 0.500 0.500 0.850

Values from the calculation:
magnetic moment	0.00	μB per formula unit
formation energy	-2.8	kJ/mol of atoms
calculated volume	25.70	Å³ per atom

=====

# 2
First-principles (PBE) data for a relaxed Ac2AgGe3Pt4 crystal, as listed in the Alexandria database.

Cell lengths 4.496, 4.496, 10.429 Å; angles 90.00, 90.00, 90.00 degrees
Fractional coordinates of all 10 atoms:
1 Ac 0.000 0.500 0.247
2 Ac 0.500 0.000 0.753
3 Ag 0.500 0.500 0.000
4 Ge 0.000 0.000 0.000
5 Ge 0.000 0.500 0.621
6 Ge 0.500 0.000 0.379
7 Pt 0.000 0.000 0.500
8 Pt 0.000 0.500 0.858
9 Pt 0.500 0.000 0.142
10 Pt 0.500 0.500 0.500

Values from the calculation:
magnetic moment	0.00	μB per formula unit
formation energy	-80.6	kJ/mol of atoms
calculated volume	21.08	Å³ per atom